# Sr3Li4Ga4

A relaxed structure of Sr3Li4Ga4 (PBE-GGA, Alexandria via LeMat-Bulk).

It has space group P-1 (No. 2), with a = 4.080 Å, b = 4.788 Å, c = 14.580 Å, α = 80.60°, β = 82.03° and γ = 89.99°. The inequivalent atoms are Sr at (0.000, 0.000, 0.000), Sr at (0.148, 0.646, 0.706), Li at (0.255, 0.254, 0.493), Li at (0.403, 0.904, 0.192), Ga at (0.307, 0.809, 0.384) and Ga at (0.452, 0.453, 0.094).

The size of the total moment is 0.00 μB per formula unit. As for the final energy: -2.50 eV/atom. The value obtained for the formation energy is -2.67 eV/f.u.